[1]
Density functional theory data (PBE) for a relaxed structure of KMn2In.

volume: 23.09 Å³ per atom
E_tot: -4.67 eV/atom

abc: 3.2099 5.4904 5.2418
angles: 90.00 90.00 90.00
Last column: magnetic moment on the atom in μB.
Atoms (fractional coordinates):
K 0.0000 0.5000 0.5000  -0.02
In 0.5000 0.0000 0.5000  -0.13
Mn 0.5000 0.5000 0.0000  3.93
Mn 0.0000 0.0000 0.0000  3.82



[2]
Density functional theory data (PBE) for a relaxed structure of BaNd5Tl6.

volume: 31.16 Å³ per atom
E_tot: -3.69 eV/atom

abc: 5.6376 7.8377 9.7586
angles: 113.68 107.11 90.00
Atoms (fractional coordinates):
Tl 0.8277 0.5667 0.6550
Nd 0.6703 0.6708 0.3416
Tl 0.8277 0.0883 0.6550
Nd 0.3297 0.3292 0.6584
Nd 0.6579 0.1580 0.3160
Nd 0.3421 0.8420 0.6840
Tl 0.1723 0.4333 0.3450
Ba 0.0000 0.0000 0.0000
Tl 0.5000 0.7253 0.0000
Tl 0.5000 0.2747 0.0000
Tl 0.1723 0.9117 0.3450
Nd 0.0000 0.5000 0.0000



[3]
Density functional theory data (PBE) for a relaxed structure of Ge2Pd6S.

volume: 15.27 Å³ per atom
E_tot: -5.32 eV/atom
formation energy without anion corrections: -0.376 eV per atom

abc: 3.2706 6.9608 6.9692
angles: 119.96 90.00 90.00
Atoms (fractional coordinates):
S 0.5000 0.9995 0.0000
Pd 0.5000 0.0004 0.6161
Pd 0.5000 0.3843 0.3839
Ge 0.0000 0.3333 0.6668
Pd 0.0000 0.0002 0.2816
Pd 0.0000 0.7185 0.7184
Ge 0.0000 0.6665 0.3332
Pd 0.0000 0.2812 0.0000
Pd 0.5000 0.6162 0.0000